No. 1
Entry from Alexandria via LeMat-Bulk: a relaxed NbGaN2O crystal (PBE).

Computed properties:
The uncorrected formation energy comes out at 314.2 meV/atom. The crystal system is tetragonal. The calculation puts the electronic total energy at -33.1 eV/f.u.

Unit cell a=3.815 b=3.815 c=3.688 alpha=90.00 beta=90.00 gamma=90.00
Sites, in units of the cell vectors:
Nb1 0.000 0.000 0.000
Ga1 0.500 0.500 0.500
N1 0.000 0.500 0.500
N2 0.500 0.000 0.500
O1 0.500 0.500 0.000



No. 2
Entry from Alexandria via LeMat-Bulk: a relaxed CaZr2Cu crystal (PBE).

Computed properties:
For the energy relative to the elements, the calculation gives 0.8404 eV/atom. The polymorph energy (0 for the lowest one) is 0.829 eV per atom. The crystal system is tetragonal. The calculation puts the electronic total energy at -19.8 eV/f.u.

Unit cell a=10.307 b=10.307 c=10.307 alpha=152.06 beta=152.06 gamma=39.92
Sites, in units of the cell vectors:
Ca1 0.000 0.000 0.000
Ca2 0.750 0.250 0.500
Zr1 0.337 0.625 0.212
Zr2 0.375 0.587 0.712
Zr3 0.413 0.125 0.788
Zr4 0.875 0.663 0.288
Cu1 0.250 0.750 0.500
Cu2 0.500 0.500 0.000



No. 3
Entry from Alexandria via LeMat-Bulk: a relaxed DyTc2Ge2C crystal (PBE).

Computed properties:
For the energy relative to the elements, the calculation gives -0.3409 eV/atom. The crystal system is tetragonal. The calculation puts the electronic total energy at -45.8 eV/f.u.

Unit cell a=4.182 b=4.182 c=5.413 alpha=90.00 beta=90.00 gamma=90.00
Sites, in units of the cell vectors:
Dy1 0.000 0.000 0.000
Tc1 0.000 0.500 0.500
Tc2 0.500 0.000 0.500
Ge1 0.500 0.500 0.221
Ge2 0.500 0.500 0.779
C1 0.000 0.000 0.500



No. 4
Entry from Alexandria via LeMat-Bulk: a relaxed Li2SO5 crystal (PBE).

Computed properties:
The uncorrected formation energy comes out at -993.0 meV/atom. The polymorph energy (0 for the lowest one) is 0.318 eV per atom. The crystal system is orthorhombic. The calculation puts the electronic total energy at -40.7 eV/f.u.

Unit cell a=5.242 b=5.242 c=9.360 alpha=90.00 beta=90.00 gamma=139.09
Sites, in units of the cell vectors:
Li1 0.130 0.870 0.578
Li2 0.130 0.870 0.922
Li3 0.870 0.130 0.078
Li4 0.870 0.130 0.422
S1 0.176 0.824 0.250
S2 0.824 0.176 0.750
O1 0.068 0.932 0.129
O2 0.068 0.932 0.371
O3 0.296 0.704 0.131
O4 0.296 0.704 0.369
O5 0.303 0.697 0.750
O6 0.697 0.303 0.250
O7 0.704 0.296 0.631
O8 0.704 0.296 0.869
O9 0.932 0.068 0.629
O10 0.932 0.068 0.871



No. 5
Entry from Alexandria via LeMat-Bulk: a relaxed Li2Y3Cd3 crystal (PBE).

Computed properties:
For the energy relative to the elements, the calculation gives -0.2198 eV/atom. The crystal system is orthorhombic. The calculation puts the electronic total energy at -27.7 eV/f.u.

Unit cell a=10.539 b=10.539 c=10.539 alpha=159.42 beta=151.16 gamma=35.69
Sites, in units of the cell vectors:
Li1 0.239 0.239 0.000
Li2 0.761 0.761 0.000
Y1 0.000 0.000 0.000
Y2 0.372 0.872 0.500
Y3 0.628 0.128 0.500
Cd1 0.136 0.636 0.500
Cd2 0.500 0.500 0.000
Cd3 0.864 0.364 0.500



No. 6
Entry from Alexandria via LeMat-Bulk: a relaxed Pa4Ga16Ni3 crystal (PBE).

Computed properties:
For the energy relative to the elements, the calculation gives -0.4075 eV/atom. The crystal system is tetragonal. The calculation puts the electronic total energy at -113.1 eV/f.u.

Unit cell a=6.113 b=6.113 c=11.084 alpha=90.00 beta=90.00 gamma=90.00
Sites, in units of the cell vectors:
Pa1 0.000 0.500 0.191
Pa2 0.000 0.500 0.809
Pa3 0.500 0.000 0.191
Pa4 0.500 0.000 0.809
Ga1 0.000 0.000 0.198
Ga2 0.000 0.000 0.802
Ga3 0.220 0.220 0.000
Ga4 0.220 0.780 0.000
Ga5 0.246 0.246 0.382
Ga6 0.246 0.246 0.618
Ga7 0.246 0.754 0.382
Ga8 0.246 0.754 0.618
Ga9 0.500 0.500 0.223
Ga10 0.500 0.500 0.777
Ga11 0.754 0.246 0.382
Ga12 0.754 0.246 0.618
Ga13 0.754 0.754 0.382
Ga14 0.754 0.754 0.618
Ga15 0.780 0.220 0.000
Ga16 0.780 0.780 0.000
Ni1 0.000 0.500 0.500
Ni2 0.500 0.000 0.500
Ni3 0.500 0.500 0.000



No. 7
Entry from Alexandria via LeMat-Bulk: a relaxed BaAcCuPb crystal (PBE).

Computed properties:
For the energy relative to the elements, the calculation gives -0.2507 eV/atom. The crystal system is cubic. The calculation puts the electronic total energy at -14.8 eV/f.u.

Unit cell a=5.788 b=5.788 c=5.788 alpha=60.00 beta=60.00 gamma=60.00
Sites, in units of the cell vectors:
Ba1 0.000 0.000 0.000
Ac1 0.500 0.500 0.500
Cu1 0.250 0.250 0.250
Pb1 0.750 0.750 0.750



No. 8
Entry from Alexandria via LeMat-Bulk: a relaxed AcNbBO6 crystal (PBE).

Computed properties:
The uncorrected formation energy comes out at -2494.9 meV/atom. The crystal system is triclinic. The calculation puts the electronic total energy at -73.1 eV/f.u.

Unit cell a=5.292 b=5.362 c=5.471 alpha=88.38 beta=87.24 gamma=63.85
Sites, in units of the cell vectors:
Ac1 0.000 0.000 0.000
Nb1 0.343 0.387 0.547
B1 0.459 0.878 0.428
O1 0.042 0.609 0.742
O2 0.143 0.322 0.246
O3 0.345 0.994 0.654
O4 0.404 0.675 0.325
O5 0.606 0.003 0.295
O6 0.651 0.307 0.733



No. 9
Entry from Alexandria via LeMat-Bulk: a relaxed CrTcP crystal (PBE).

Computed properties:
For the energy relative to the elements, the calculation gives 0.1485 eV/atom. The polymorph energy (0 for the lowest one) is 0.550 eV per atom. The crystal system is orthorhombic. The calculation puts the electronic total energy at -25.0 eV/f.u.

Unit cell a=6.069 b=5.805 c=2.786 alpha=81.78 beta=71.20 gamma=27.03
Sites, in units of the cell vectors:
Cr1 0.000 0.000 0.000
Tc1 0.311 0.311 0.689
P1 0.650 0.650 0.350



No. 10
Entry from Alexandria via LeMat-Bulk: a relaxed BaNaSr6 crystal (PBE).

Computed properties:
For the energy relative to the elements, the calculation gives 0.0554 eV/atom. The crystal system is triclinic. The calculation puts the electronic total energy at -12.9 eV/f.u.

Unit cell a=7.578 b=7.580 c=7.581 alpha=89.96 beta=89.93 gamma=89.88
Sites, in units of the cell vectors:
Ba1 0.000 0.000 0.000
Na1 0.500 0.500 0.500
Sr1 0.000 0.252 0.500
Sr2 0.000 0.748 0.500
Sr3 0.252 0.500 0.000
Sr4 0.500 0.000 0.252
Sr5 0.500 0.000 0.748
Sr6 0.748 0.500 0.000



No. 11
Entry from Alexandria via LeMat-Bulk: a relaxed Zn3NCl crystal (PBE).

Computed properties:
The uncorrected formation energy comes out at 222.8 meV/atom. The polymorph energy (0 for the lowest one) is 0.000 eV per atom. The crystal system is cubic. The calculation puts the electronic total energy at -12.9 eV/f.u.

Unit cell a=4.383 b=4.383 c=4.383 alpha=90.00 beta=90.00 gamma=90.00
Sites, in units of the cell vectors:
Zn1 0.000 0.000 0.500
Zn2 0.000 0.500 0.000
Zn3 0.500 0.000 0.000
N1 0.000 0.000 0.000
Cl1 0.500 0.500 0.500



No. 12
Entry from Alexandria via LeMat-Bulk: a relaxed Sc4BeAg crystal (PBE).

Computed properties:
For the energy relative to the elements, the calculation gives 0.5552 eV/atom. The crystal system is cubic. The calculation puts the electronic total energy at -28.6 eV/f.u.

Unit cell a=5.677 b=5.677 c=5.677 alpha=60.00 beta=60.00 gamma=60.00
Sites, in units of the cell vectors:
Sc1 0.376 0.376 0.376
Sc2 0.376 0.376 0.873
Sc3 0.376 0.873 0.376
Sc4 0.873 0.376 0.376
Be1 0.750 0.750 0.750
Ag1 0.000 0.000 0.000



No. 13
Entry from Alexandria via LeMat-Bulk: a relaxed K2BaPd9 crystal (PBE).

Computed properties:
For the energy relative to the elements, the calculation gives -0.1602 eV/atom. The crystal system is trigonal. The calculation puts the electronic total energy at -52.8 eV/f.u.

Unit cell a=9.579 b=9.579 c=9.579 alpha=33.96 beta=33.96 gamma=33.96
Sites, in units of the cell vectors:
K1 0.144 0.144 0.144
K2 0.856 0.856 0.856
Ba1 0.000 0.000 0.000
Pd1 0.082 0.582 0.582
Pd2 0.333 0.333 0.333
Pd3 0.418 0.418 0.918
Pd4 0.418 0.918 0.418
Pd5 0.500 0.500 0.500
Pd6 0.582 0.082 0.582
Pd7 0.582 0.582 0.082
Pd8 0.667 0.667 0.667
Pd9 0.918 0.418 0.418



No. 14
Entry from Alexandria via LeMat-Bulk: a relaxed LaHf3Ag crystal (PBE).

Computed properties:
For the energy relative to the elements, the calculation gives 0.8021 eV/atom. The polymorph energy (0 for the lowest one) is 0.000 eV per atom. The crystal system is cubic. The calculation puts the electronic total energy at -33.6 eV/f.u.

Unit cell a=5.198 b=5.198 c=5.198 alpha=90.00 beta=90.00 gamma=90.00
Sites, in units of the cell vectors:
La1 0.000 0.000 0.000
Hf1 0.000 0.500 0.500
Hf2 0.500 0.000 0.500
Hf3 0.500 0.500 0.000
Ag1 0.500 0.500 0.500



No. 15
Entry from Alexandria via LeMat-Bulk: a relaxed Ba2Ge3Au5 crystal (PBE).

Computed properties:
For the energy relative to the elements, the calculation gives -0.4589 eV/atom. The polymorph energy (0 for the lowest one) is 0.039 eV per atom. The crystal system is tetragonal. The calculation puts the electronic total energy at -38.7 eV/f.u.

Unit cell a=4.758 b=4.758 c=10.789 alpha=90.00 beta=90.00 gamma=90.00
Sites, in units of the cell vectors:
Ba1 0.000 0.500 0.240
Ba2 0.500 0.000 0.760
Ge1 0.000 0.500 0.620
Ge2 0.500 0.000 0.380
Ge3 0.500 0.500 0.500
Au1 0.000 0.000 0.000
Au2 0.000 0.000 0.500
Au3 0.000 0.500 0.855
Au4 0.500 0.000 0.145
Au5 0.500 0.500 0.000



No. 16
Entry from Alexandria via LeMat-Bulk: a relaxed La3Pm3Pr8 crystal (PBE).

Computed properties:
For the energy relative to the elements, the calculation gives 0.0862 eV/atom. The polymorph energy (0 for the lowest one) is 0.000 eV per atom. The crystal system is orthorhombic. The calculation puts the electronic total energy at -66.1 eV/f.u.

Unit cell a=10.059 b=10.059 c=10.059 alpha=145.94 beta=113.48 gamma=76.88
Sites, in units of the cell vectors:
La1 0.000 0.000 0.000
La2 0.182 0.682 0.500
La3 0.818 0.318 0.500
Pm1 0.197 0.500 0.697
Pm2 0.500 0.500 0.000
Pm3 0.803 0.500 0.303
Pr1 0.119 0.280 0.839
Pr2 0.233 0.897 0.336
Pr3 0.439 0.103 0.336
Pr4 0.442 0.280 0.161
Pr5 0.558 0.720 0.839
Pr6 0.561 0.897 0.664
Pr7 0.767 0.103 0.664
Pr8 0.881 0.720 0.161



No. 17
Entry from Alexandria via LeMat-Bulk: a relaxed Rb2YPaO6 crystal (PBE).

Computed properties:
The uncorrected formation energy comes out at -2533.2 meV/atom. The crystal system is cubic. The calculation puts the electronic total energy at -73.0 eV/f.u.

Unit cell a=6.278 b=6.278 c=6.278 alpha=60.00 beta=60.00 gamma=60.00
Sites, in units of the cell vectors:
Rb1 0.250 0.250 0.250
Rb2 0.750 0.750 0.750
Y1 0.000 0.000 0.000
Pa1 0.500 0.500 0.500
O1 0.257 0.257 0.743
O2 0.257 0.743 0.257
O3 0.257 0.743 0.743
O4 0.743 0.257 0.257
O5 0.743 0.257 0.743
O6 0.743 0.743 0.257



No. 18
Entry from Alexandria via LeMat-Bulk: a relaxed BaCd2GaPd crystal (PBE).

Computed properties:
For the energy relative to the elements, the calculation gives -0.3608 eV/atom. The polymorph energy (0 for the lowest one) is 0.039 eV per atom. The crystal system is tetragonal. The calculation puts the electronic total energy at -13.8 eV/f.u.

Unit cell a=5.295 b=5.295 c=4.906 alpha=90.00 beta=90.00 gamma=90.00
Sites, in units of the cell vectors:
Ba1 0.000 0.000 0.000
Cd1 0.000 0.500 0.500
Cd2 0.500 0.000 0.500
Ga1 0.500 0.500 0.000
Pd1 0.500 0.500 0.500



No. 19
Entry from Alexandria via LeMat-Bulk: a relaxed PrNd3Sm6Ho2 crystal (PBE).

Computed properties:
For the energy relative to the elements, the calculation gives 0.0155 eV/atom. The crystal system is monoclinic. The calculation puts the electronic total energy at -56.4 eV/f.u.

Unit cell a=6.289 b=6.289 c=12.054 alpha=95.00 beta=95.00 gamma=119.98
Sites, in units of the cell vectors:
Pr1 0.000 0.000 0.000
Nd1 0.167 0.833 0.500
Nd2 0.500 0.500 0.500
Nd3 0.833 0.167 0.500
Sm1 0.083 0.417 0.248
Sm2 0.252 0.252 0.752
Sm3 0.417 0.083 0.248
Sm4 0.583 0.917 0.752
Sm5 0.748 0.748 0.248
Sm6 0.917 0.583 0.752
Ho1 0.333 0.667 0.000
Ho2 0.667 0.333 0.000



No. 20
Entry from Alexandria via LeMat-Bulk: a relaxed AcGa5Ni2 crystal (PBE).

Computed properties:
For the energy relative to the elements, the calculation gives -0.5103 eV/atom. The crystal system is orthorhombic. The calculation puts the electronic total energy at -34.9 eV/f.u.

Unit cell a=6.427 b=6.427 c=6.427 alpha=142.82 beta=113.67 gamma=78.57
Sites, in units of the cell vectors:
Ac1 0.000 0.000 0.000
Ga1 0.150 0.341 0.809
Ga2 0.468 0.659 0.809
Ga3 0.500 0.000 0.500
Ga4 0.532 0.341 0.191
Ga5 0.850 0.659 0.191
Ni1 0.267 0.767 0.500
Ni2 0.733 0.233 0.500



No. 21
Entry from Alexandria via LeMat-Bulk: a relaxed TiNbTe crystal (PBE).

Computed properties:
The uncorrected formation energy comes out at -292.1 meV/atom. The polymorph energy (0 for the lowest one) is 0.073 eV per atom. The crystal system is monoclinic. The calculation puts the electronic total energy at -22.0 eV/f.u.

Unit cell a=5.387 b=5.387 c=7.261 alpha=107.97 beta=107.97 gamma=39.07
Sites, in units of the cell vectors:
Ti1 0.000 0.000 0.000
Ti2 0.543 0.543 0.717
Nb1 0.261 0.261 0.880
Nb2 0.722 0.722 0.162
Te1 0.466 0.466 0.277
Te2 0.805 0.805 0.604



No. 22
Entry from Alexandria via LeMat-Bulk: a relaxed TeMo2As crystal (PBE).

Computed properties:
The uncorrected formation energy comes out at 627.3 meV/atom. The polymorph energy (0 for the lowest one) is 0.570 eV per atom. The crystal system is orthorhombic. The calculation puts the electronic total energy at -26.9 eV/f.u.

Unit cell a=3.290 b=4.207 c=5.246 alpha=90.00 beta=90.00 gamma=90.00
Sites, in units of the cell vectors:
Te1 0.000 0.000 0.000
Mo1 0.000 0.500 0.500
Mo2 0.500 0.500 0.000
As1 0.500 0.000 0.500



No. 23
Entry from Alexandria via LeMat-Bulk: a relaxed TbTiPdAu crystal (PBE).

Computed properties:
For the energy relative to the elements, the calculation gives -0.5107 eV/atom. The crystal system is cubic. The calculation puts the electronic total energy at -23.0 eV/f.u.

Unit cell a=4.827 b=4.827 c=4.827 alpha=60.00 beta=60.00 gamma=60.00
Sites, in units of the cell vectors:
Tb1 0.000 0.000 0.000
Ti1 0.500 0.500 0.500
Pd1 0.250 0.250 0.250
Au1 0.750 0.750 0.750



No. 24
Entry from Alexandria via LeMat-Bulk: a relaxed CeNdErCd crystal (PBE).

Computed properties:
For the energy relative to the elements, the calculation gives 0.0636 eV/atom. The crystal system is cubic. The calculation puts the electronic total energy at -15.9 eV/f.u.

Unit cell a=5.435 b=5.435 c=5.435 alpha=60.00 beta=60.00 gamma=60.00
Sites, in units of the cell vectors:
Ce1 0.000 0.000 0.000
Nd1 0.750 0.750 0.750
Er1 0.250 0.250 0.250
Cd1 0.500 0.500 0.500